(1)
Entry from Alexandria: crystalline TaCdIr at its relaxed geometry (PBE-GGA).

Cell and atoms, written as extended XYZ:
```
6
Lattice="4.963 0.000 -0.001 0.000 2.948 0.000 -1.606 0.000 7.257" Properties=species:S:1:pos:R:3 pbc="T T T"
Cd 0.458 0.000 1.330
Cd 3.216 1.474 5.917
Ir 2.987 1.474 0.985
Ir 0.286 1.474 3.900
Ta 2.770 0.000 3.267
Ta 0.766 0.000 6.025
```

Properties
E_form, eV/f.u.: -0.22
Calculated volume, Å³ per cell: 106.2
M_tot, μB/f.u.: 0.00
Energy above the most stable polymorph in this dataset, meV/atom: 44



(2)
Entry from Alexandria: crystalline CaZnPt2 at its relaxed geometry (PBE-GGA).

Cell and atoms, written as extended XYZ:
```
4
Lattice="-2.631 1.703 3.597 0.616 -4.525 1.382 2.594 0.815 1.512" Properties=species:S:1:pos:R:3 pbc="T T T"
Zn -0.019 1.259 2.555
Ca 1.605 -1.855 1.447
Pt 0.000 0.000 0.000
Pt -1.008 -1.411 2.490
```

Properties
E_form, eV/f.u.: -2.32
Calculated volume, Å³ per cell: 69.5
M_tot, μB/f.u.: 0.00



(3)
Entry from Alexandria: crystalline Pu2Zn5Au12 at its relaxed geometry (PBE-GGA).

Cell and atoms, written as extended XYZ:
```
19
Lattice="-3.860 -2.746 5.424 0.769 -6.973 -1.627 5.443 -1.498 4.471" Properties=species:S:1:pos:R:3 pbc="T T T"
Pu 1.520 -7.247 5.341
Pu 0.832 -3.970 2.926
Zn 2.721 -0.749 2.236
Zn 0.385 -3.486 -0.814
Zn -1.930 -1.373 2.712
Zn 2.114 -10.081 7.430
Zn 0.238 -1.136 0.837
Au -0.643 -5.683 0.524
Au -1.022 -2.366 5.133
Au 4.017 -3.168 2.611
Au -2.448 -4.036 3.272
Au 2.605 -1.879 4.762
Au 2.195 -5.302 0.233
Au 3.655 -4.593 5.152
Au 1.202 -7.466 1.952
Au -1.227 -5.248 5.652
Au 1.150 -3.751 6.315
Au -1.302 -6.624 3.115
Au 3.579 -5.969 2.615
```

Properties
E_form, eV/f.u.: -4.34
Calculated volume, Å³ per cell: 363.1
M_tot, μB/f.u.: 11.84



(4)
Entry from Alexandria: crystalline HfSi2BiO8 at its relaxed geometry (PBE-GGA).

Cell and atoms, written as extended XYZ:
```
12
Lattice="-0.783 -4.259 3.719 1.855 -1.617 -5.151 4.015 3.404 2.208" Properties=species:S:1:pos:R:3 pbc="T T T"
Hf 3.203 -0.576 -1.829
Si 1.884 -1.897 2.606
Si 0.536 -2.938 -0.716
Bi 0.000 0.000 0.000
O 1.127 -0.649 1.853
O 1.463 -1.601 -1.029
O 3.259 1.127 2.292
O 2.240 -0.944 3.895
O 1.329 -4.099 0.161
O 1.073 -3.305 2.844
O 3.095 -2.689 1.831
O 4.122 -0.372 0.129
```

Properties
Calculated volume, Å³ per cell: 142.2
M_tot, μB/f.u.: 0.00
Uncorrected formation energy, eV per formula unit: -29.695